A plane-wave DFT calculation with PBE was carried out for a relaxed structure of Ti2AlAu4.

calculated formation energy: -0.299 eV/atom
symmetry: R-3m (166)
DOS at the Fermi energy: 0.573 states/eV/atom
distance to the lowest polymorph of the same formula: 0.0 meV/atom

a b c (Å): 7.214 7.214 7.214
angles (deg): 37.45 37.45 37.45
Positions (direct):
1 Ti 0.232 0.232 0.232
2 Ti 0.768 0.768 0.768
3 Al 0.500 0.500 0.500
4 Au 0.099 0.099 0.099
5 Au 0.369 0.369 0.369
6 Au 0.631 0.631 0.631
7 Au 0.901 0.901 0.901